# Pm2MgCoO6 (GGA+U, optimized geometry)
# - space group = P2_1/c
# - E (eV per atom) = -7.108
data_Pm2MgCoO6
_space_group_name_H-M_alt 'P 1'
_space_group_IT_number 1
_space_group_name_Hall 'P 1'
_cell_length_a 5.398
_cell_length_b 5.535
_cell_length_c 7.671
_cell_angle_alpha 90.00
_cell_angle_beta 90.20
_cell_angle_gamma 90.00
loop_
_atom_site_label
_atom_site_fract_x
_atom_site_fract_y
_atom_site_fract_z
O1 0.219 0.200 0.456
O2 0.084 0.478 0.760
O3 0.197 0.220 0.046
O4 0.584 0.022 0.260
O5 0.697 0.280 0.546
O6 0.303 0.720 0.454
O7 0.719 0.300 0.956
O8 0.803 0.780 0.954
O9 0.916 0.522 0.240
O10 0.416 0.978 0.740
O11 0.781 0.800 0.544
O12 0.281 0.700 0.044
Pm1 0.487 0.447 0.250
Pm2 0.513 0.553 0.750
Pm3 0.013 0.947 0.250
Pm4 0.987 0.053 0.750
Co1 0.500 0.000 0.500
Co2 0.000 0.500 0.000
Mg1 0.000 0.500 0.500
Mg2 0.500 0.000 0.000